Density functional theory data (PBE) for a relaxed Cs3Li2PrI8 crystal.

Results
theoretical density	3.70	g/cm³
total magnetic moment	0.00	μB per formula unit
raw formation energy	-19.33	eV per formula unit
final energy	-3.0642	eV/atom

CIF file:
```
data_Cs3Li2PrI8
_chemical_formula_sum 'Cs3 Li2 Pr1 I8'
_cell_length_a 8.6261
_cell_length_b 8.6261
_cell_length_c 10.9140
_cell_angle_alpha 90.00
_cell_angle_beta 90.00
_cell_angle_gamma 120.00
_symmetry_space_group_name_H-M 'P -3 m 1'
_symmetry_Int_Tables_number 164
_symmetry_space_group_name_Hall '-P 3 2"'
loop_
_atom_site_label
_atom_site_type_symbol
_atom_site_fract_x
_atom_site_fract_y
_atom_site_fract_z
_atom_site_occupancy
Cs1 Cs 0.0000 0.0000 0.0000 1
Cs2 Cs 0.3333 0.6667 0.6294 1
Li1 Li 0.3333 0.6667 0.1988 1
Pr1 Pr 0.0000 0.0000 0.5000 1
I1 I 0.1672 0.3343 0.3272 1
I2 I 0.3333 0.6667 0.9620 1
```